Record 1
! PBE AlNi4P, optimized geometry; values from VASP
&SYSTEM
  ibrav = 0, nat = 6, ntyp = 3
/
ATOMIC_SPECIES
Al 26.98 Al.upf
Ni 58.69 Ni.upf
P 30.97 P.upf
ATOMIC_POSITIONS crystal
Al 0.000 0.000 0.000
Ni 0.375 0.375 0.375
Ni 0.875 0.375 0.375
Ni 0.375 0.875 0.375
Ni 0.375 0.375 0.875
P 0.750 0.750 0.750
CELL_PARAMETERS angstrom
-4.325 -1.802 0.053
-3.217 1.714 2.945
-3.600 2.499 -1.659
! Space-group type: F-43m (216)
! Formation energy: 0.0034 eV/atom


Record 2
! PBE AlNi2P, optimized geometry; values from VASP
&SYSTEM
  ibrav = 0, nat = 4, ntyp = 3
/
ATOMIC_SPECIES
P 30.97 P.upf
Ni 58.69 Ni.upf
Al 26.98 Al.upf
ATOMIC_POSITIONS crystal
P 0.250 0.250 0.250
Ni 0.000 0.000 0.000
Ni 0.750 0.750 0.750
Al 0.500 0.500 0.500
CELL_PARAMETERS angstrom
4.102 0.000 0.000
2.051 3.552 0.000
2.051 1.184 3.349
! Relative energy among the computed polymorphs: 482.9 meV per atom
! Space-group type: F-43m (216)
! Formation energy: -0.0680 eV/atom


Record 3
! PBE AlNi2P, optimized geometry; values from VASP
&SYSTEM
  ibrav = 0, nat = 4, ntyp = 3
/
ATOMIC_SPECIES
P 30.97 P.upf
Ni 58.69 Ni.upf
Al 26.98 Al.upf
ATOMIC_POSITIONS crystal
P 0.500 0.500 0.000
Ni 0.250 0.750 0.500
Ni 0.000 0.000 0.000
Al 0.750 0.250 0.500
CELL_PARAMETERS angstrom
4.585 0.002 0.000
1.927 4.160 0.000
-3.256 -2.081 2.467
! Relative energy among the computed polymorphs: 199.9 meV per atom
! Space-group type: I-4m2 (119)
! Formation energy: -0.3510 eV/atom


Record 4
! PBE Al2NiP, optimized geometry; values from VASP
&SYSTEM
  ibrav = 0, nat = 4, ntyp = 3
/
ATOMIC_SPECIES
Al 26.98 Al.upf
Ni 58.69 Ni.upf
P 30.97 P.upf
ATOMIC_POSITIONS crystal
Al 0.250 0.250 0.250
Al 0.000 0.000 0.000
Ni 0.500 0.500 0.500
P 0.750 0.750 0.750
CELL_PARAMETERS angstrom
4.332 0.000 0.000
2.166 3.752 0.000
2.166 1.251 3.537
! Space-group type: F-43m (216)
! Formation energy: 0.1183 eV/atom


Record 5
! PBE Al2Ni2P, optimized geometry; values from VASP
&SYSTEM
  ibrav = 0, nat = 5, ntyp = 3
/
ATOMIC_SPECIES
P 30.97 P.upf
Ni 58.69 Ni.upf
Al 26.98 Al.upf
ATOMIC_POSITIONS crystal
P 0.000 0.000 0.000
Ni 0.750 0.250 0.500
Ni 0.250 0.750 0.500
Al 0.606 0.606 0.000
Al 0.394 0.394 0.000
CELL_PARAMETERS angstrom
-5.481 2.054 3.315
-3.577 5.634 0.841
3.182 -4.420 -3.948
! Relative energy among the computed polymorphs: 260.8 meV per atom
! Space-group type: I4/mmm (139)
! Formation energy: -0.0335 eV/atom


Record 6
! PBE Al2NiP, optimized geometry; values from VASP
&SYSTEM
  ibrav = 0, nat = 4, ntyp = 3
/
ATOMIC_SPECIES
Al 26.98 Al.upf
P 30.97 P.upf
Ni 58.69 Ni.upf
ATOMIC_POSITIONS crystal
Al 0.500 0.500 0.000
Al 0.000 0.000 0.000
P 0.000 0.000 0.500
Ni 0.500 0.500 0.500
CELL_PARAMETERS angstrom
-0.749 -2.244 -2.357
0.946 -3.461 2.994
-2.804 -2.472 3.244
! Space-group type: P2/m (10)
! Formation energy: -0.1239 eV/atom


Record 7
! PBE AlNi8P2, optimized geometry; values from VASP
&SYSTEM
  ibrav = 0, nat = 11, ntyp = 3
/
ATOMIC_SPECIES
Ni 58.69 Ni.upf
Al 26.98 Al.upf
P 30.97 P.upf
ATOMIC_POSITIONS crystal
Ni 0.147 0.147 0.295
Ni 0.000 0.697 0.000
Ni 0.000 0.303 0.000
Ni 0.667 0.885 0.333
Ni 0.333 0.115 0.667
Ni 0.333 0.552 0.667
Ni 0.853 0.853 0.705
Ni 0.667 0.448 0.333
Al 0.500 0.000 0.000
P 0.820 0.320 0.639
P 0.180 0.680 0.361
CELL_PARAMETERS angstrom
3.422 0.000 -1.041
-0.941 5.445 -3.092
0.122 0.055 6.543
! Space-group type: Immm (71)
! Formation energy: -0.4198 eV/atom


Record 8
! PBE AlNi2P, optimized geometry; values from VASP
&SYSTEM
  ibrav = 0, nat = 4, ntyp = 3
/
ATOMIC_SPECIES
Ni 58.69 Ni.upf
Al 26.98 Al.upf
P 30.97 P.upf
ATOMIC_POSITIONS crystal
Ni 0.000 0.000 0.000
Ni 0.000 0.500 0.500
Al 0.500 0.000 0.500
P 0.500 0.500 0.000
CELL_PARAMETERS angstrom
3.639 -0.795 -0.016
-2.591 5.536 1.252
0.354 1.522 2.976
! Relative energy among the computed polymorphs: 197.7 meV per atom
! Space-group type: C2/m (12)
! Formation energy: -0.3532 eV/atom


Record 9
! PBE AlNiP, optimized geometry; values from VASP
&SYSTEM
  ibrav = 0, nat = 9, ntyp = 3
/
ATOMIC_SPECIES
Ni 58.69 Ni.upf
Al 26.98 Al.upf
P 30.97 P.upf
ATOMIC_POSITIONS crystal
Ni 0.659 0.659 0.500
Ni 0.000 0.341 0.500
Ni 0.341 0.000 0.500
Al 0.000 0.722 0.000
Al 0.722 0.000 0.000
Al 0.278 0.278 0.000
P 0.000 0.000 0.500
P 0.667 0.333 0.000
P 0.333 0.667 0.000
CELL_PARAMETERS angstrom
2.314 2.791 -5.318
-6.267 -1.404 0.432
-0.610 3.151 1.388
! Space-group type: P-62m (189)
! Formation energy: -0.0855 eV/atom


Record 10
! PBE Al2Ni3P, optimized geometry; values from VASP
&SYSTEM
  ibrav = 0, nat = 6, ntyp = 3
/
ATOMIC_SPECIES
Al 26.98 Al.upf
Ni 58.69 Ni.upf
P 30.97 P.upf
ATOMIC_POSITIONS crystal
Al 0.333 0.667 0.000
Al 0.667 0.333 0.000
Ni 0.000 0.500 0.500
Ni 0.500 0.000 0.500
Ni 0.500 0.500 0.500
P 0.000 0.000 0.000
CELL_PARAMETERS angstrom
2.459 -4.259 0.000
2.459 4.259 0.000
0.000 0.000 3.958
! Space-group type: P6/mmm (191)
! Formation energy: -0.0023 eV/atom


Record 11
! PBE Al3NiP2, optimized geometry; values from VASP
&SYSTEM
  ibrav = 0, nat = 6, ntyp = 3
/
ATOMIC_SPECIES
Ni 58.69 Ni.upf
Al 26.98 Al.upf
P 30.97 P.upf
ATOMIC_POSITIONS crystal
Ni 0.000 0.000 0.000
Al 0.000 0.500 0.500
Al 0.500 0.500 0.500
Al 0.500 0.000 0.500
P 0.333 0.667 0.000
P 0.667 0.333 0.000
CELL_PARAMETERS angstrom
1.623 2.167 5.421
-1.912 -5.726 -0.525
3.167 -1.008 -0.546
! Relative energy among the computed polymorphs: 51.0 meV per atom
! Space-group type: P6/mmm (191)
! Formation energy: 0.3475 eV/atom


Record 12
! PBE AlNi3P, optimized geometry; values from VASP
&SYSTEM
  ibrav = 0, nat = 5, ntyp = 3
/
ATOMIC_SPECIES
Ni 58.69 Ni.upf
P 30.97 P.upf
Al 26.98 Al.upf
ATOMIC_POSITIONS crystal
Ni 0.000 0.500 0.000
Ni 0.500 0.000 0.000
Ni 0.000 0.000 0.500
P 0.000 0.000 0.000
Al 0.500 0.500 0.500
CELL_PARAMETERS angstrom
-2.993 1.274 2.544
-1.200 -3.914 0.548
2.580 -0.342 3.206
! Relative energy among the computed polymorphs: 376.6 meV per atom
! Space-group type: Pm-3m (221)
! Formation energy: -0.0583 eV/atom


Record 13
! PBE AlNi2P, optimized geometry; values from VASP
&SYSTEM
  ibrav = 0, nat = 4, ntyp = 3
/
ATOMIC_SPECIES
Al 26.98 Al.upf
P 30.97 P.upf
Ni 58.69 Ni.upf
ATOMIC_POSITIONS crystal
Al 0.500 0.500 0.776
P 0.000 0.000 0.456
Ni 0.000 0.000 0.983
Ni 0.500 0.500 0.285
CELL_PARAMETERS angstrom
3.087 0.000 0.000
0.000 3.242 0.000
0.000 0.000 4.817
! Relative energy among the computed polymorphs: 124.0 meV per atom
! Space-group type: Pmm2 (25)
! Formation energy: -0.4270 eV/atom


Record 14
! PBE AlNi2P, optimized geometry; values from VASP
&SYSTEM
  ibrav = 0, nat = 4, ntyp = 3
/
ATOMIC_SPECIES
Ni 58.69 Ni.upf
P 30.97 P.upf
Al 26.98 Al.upf
ATOMIC_POSITIONS crystal
Ni 0.994 0.994 0.033
Ni 0.762 0.762 0.689
P 0.492 0.492 0.565
Al 0.252 0.252 0.213
CELL_PARAMETERS angstrom
4.359 -0.048 0.008
3.170 2.993 0.008
1.056 0.413 3.626
! Relative energy among the computed polymorphs: 170.6 meV per atom
! Space-group type: Cm (8)
! Formation energy: -0.3804 eV/atom


Record 15
! PBE Al3NiP, optimized geometry; values from VASP
&SYSTEM
  ibrav = 0, nat = 5, ntyp = 3
/
ATOMIC_SPECIES
Ni 58.69 Ni.upf
Al 26.98 Al.upf
P 30.97 P.upf
ATOMIC_POSITIONS crystal
Ni 0.500 0.500 0.500
Al 0.000 0.000 0.500
Al 0.500 0.000 0.000
Al 0.000 0.500 0.000
P 0.000 0.000 0.000
CELL_PARAMETERS angstrom
-3.583 2.618 1.183
-0.593 -2.524 3.791
2.811 2.805 2.307
! Relative energy among the computed polymorphs: 573.0 meV per atom
! Space-group type: Pm-3m (221)
! Formation energy: 0.6867 eV/atom


Record 16
! PBE AlNi2P, optimized geometry; values from VASP
&SYSTEM
  ibrav = 0, nat = 16, ntyp = 3
/
ATOMIC_SPECIES
Ni 58.69 Ni.upf
Al 26.98 Al.upf
P 30.97 P.upf
ATOMIC_POSITIONS crystal
Ni 0.011 0.817 0.157
Ni 0.493 0.304 0.407
Ni 0.507 0.696 0.593
Ni 0.007 0.804 0.593
Ni 0.989 0.183 0.843
Ni 0.511 0.683 0.157
Ni 0.489 0.317 0.843
Ni 0.993 0.196 0.407
Al 0.314 0.879 0.880
Al 0.186 0.379 0.120
Al 0.686 0.121 0.120
Al 0.814 0.621 0.880
P 0.181 0.436 0.635
P 0.319 0.936 0.365
P 0.681 0.064 0.635
P 0.819 0.564 0.365
CELL_PARAMETERS angstrom
5.211 0.000 0.037
0.000 5.554 0.000
0.040 0.000 6.920
! Relative energy among the computed polymorphs: 0.0 meV per atom
! Space-group type: P2_1/c (14)
! Formation energy: -0.5510 eV/atom


Record 17
! PBE Al2NiP, optimized geometry; values from VASP
&SYSTEM
  ibrav = 0, nat = 4, ntyp = 3
/
ATOMIC_SPECIES
P 30.97 P.upf
Ni 58.69 Ni.upf
Al 26.98 Al.upf
ATOMIC_POSITIONS crystal
P 0.000 0.500 0.500
Ni 0.500 0.000 0.500
Al 0.000 0.000 0.000
Al 0.500 0.500 0.000
CELL_PARAMETERS angstrom
-3.472 2.064 0.099
-2.027 -3.439 0.622
0.333 0.402 3.311
! Space-group type: P4/mmm (123)
! Formation energy: -0.1180 eV/atom


Record 18
! PBE AlNi2P, optimized geometry; values from VASP
&SYSTEM
  ibrav = 0, nat = 4, ntyp = 3
/
ATOMIC_SPECIES
Al 26.98 Al.upf
Ni 58.69 Ni.upf
P 30.97 P.upf
ATOMIC_POSITIONS crystal
Al 0.748 0.748 0.748
Ni 0.244 0.244 0.244
Ni 0.001 0.001 0.001
P 0.507 0.507 0.507
CELL_PARAMETERS angstrom
7.472 -0.029 -0.017
6.942 2.766 -0.017
6.942 1.318 2.432
! Relative energy among the computed polymorphs: 440.4 meV per atom
! Space-group type: R3m (160)
! Formation energy: -0.1106 eV/atom


Record 19
! PBE AlNiP3, optimized geometry; values from VASP
&SYSTEM
  ibrav = 0, nat = 5, ntyp = 3
/
ATOMIC_SPECIES
P 30.97 P.upf
Ni 58.69 Ni.upf
Al 26.98 Al.upf
ATOMIC_POSITIONS crystal
P 0.000 0.500 0.000
P 0.500 0.000 0.000
P 0.000 0.000 0.500
Ni 0.000 0.000 0.000
Al 0.500 0.500 0.500
CELL_PARAMETERS angstrom
4.412 0.000 0.000
0.000 4.412 0.000
0.000 0.000 4.412
! Space-group type: Pm-3m (221)
! Formation energy: 0.5965 eV/atom


Record 20
! PBE AlNi2P, optimized geometry; values from VASP
&SYSTEM
  ibrav = 0, nat = 4, ntyp = 3
/
ATOMIC_SPECIES
Al 26.98 Al.upf
Ni 58.69 Ni.upf
P 30.97 P.upf
ATOMIC_POSITIONS crystal
Al 0.250 0.250 0.250
Ni 0.003 0.003 0.988
Ni 0.497 0.497 0.512
P 0.750 0.750 0.750
CELL_PARAMETERS angstrom
4.059 0.008 0.011
3.095 2.625 0.011
0.799 0.294 4.493
! Relative energy among the computed polymorphs: 202.1 meV per atom
! Space-group type: C2/m (12)
! Formation energy: -0.3489 eV/atom